A plane-wave DFT calculation with PBE-GGA was carried out for a geometry-optimized Pr12DyTm7 structure.

POSCAR file:
```
Pr12DyTm7
1.0
9.8425 5.6826 2.0841
-9.8425 5.6826 2.0841
0.0000 -11.3651 2.0841
Pr Dy Tm
12 1 7
Direct
0.0008 0.4126 0.5884 Pr
0.0818 0.0825 0.4341 Pr
0.0825 0.4341 0.0818 Pr
0.4116 0.9992 0.5874 Pr
0.4126 0.5884 0.0008 Pr
0.4341 0.0818 0.0825 Pr
0.5659 0.9182 0.9175 Pr
0.5874 0.4116 0.9992 Pr
0.5884 0.0008 0.4126 Pr
0.9175 0.5659 0.9182 Pr
0.9182 0.9175 0.5659 Pr
0.9992 0.5874 0.4116 Pr
0.5000 0.5000 0.5000 Dy
0.0000 0.0000 0.0000 Tm
0.1333 0.3768 0.3760 Tm
0.3760 0.1333 0.3768 Tm
0.3768 0.3760 0.1333 Tm
0.6232 0.6240 0.8667 Tm
0.6240 0.8667 0.6232 Tm
0.8667 0.6232 0.6240 Tm
```

## Properties
Formation energy: 0.23 eV per atom
Density: 7.21 g/cm3
E above lowest polymorph: 9 meV/atom
Uncorrected energy: -4.437 eV/atom